1.
A plane-wave DFT calculation with PBE was carried out for crystalline SmZrPt at its relaxed geometry.

Unit cell a=4.745 b=11.768 c=7.694 alpha=90.00 beta=90.00 gamma=90.00
Space group Amm2 (No. 38)
Inequivalent atoms, fractional coordinates:
Sm1 0.000 0.000 0.000 x2
Sm2 0.000 0.199 0.610 x4
Zr1 0.500 0.000 0.681 x2
Zr2 0.500 0.131 0.292 x4
Pt1 0.000 0.000 0.374 x2
Pt2 0.500 0.163 0.934 x4

Output
- Formation energy: -0.772 eV/atom
- Polymorph energy (0 for the lowest one): 35 meV per atom
- D(E_F): 2.41 states/eV/f.u.
- Magnetic moment: 0.00 μB/cell

=====

2.
A plane-wave DFT calculation with PBE was carried out for crystalline Pm3Er6Tl at its relaxed geometry.

Unit cell a=12.793 b=3.495 c=14.216 alpha=90.00 beta=100.79 gamma=90.00
Space group P2_1/m (No. 11)
Inequivalent atoms, fractional coordinates:
Pm1 0.075 0.250 0.101 x2
Pm2 0.368 0.750 0.494 x2
Pm3 0.422 0.250 0.903 x2
Er1 0.112 0.250 0.465 x2
Er2 0.191 0.750 0.921 x2
Er3 0.224 0.750 0.284 x2
Er4 0.248 0.750 0.690 x2
Er5 0.342 0.250 0.119 x2
Er6 0.490 0.250 0.690 x2
Tl1 0.036 0.250 0.720 x2

Output
- Formation energy: 0.022 eV/atom
- Polymorph energy (0 for the lowest one): 0 meV per atom
- D(E_F): 13.42 states/eV/f.u.
- Magnetic moment: 0.00 μB/cell

=====

3.
A plane-wave DFT calculation with PBE was carried out for crystalline TaGaTcRu at its relaxed geometry.

Unit cell a=3.157 b=3.157 c=6.095 alpha=90.00 beta=90.00 gamma=90.00
Space group P4mm (No. 99)
Inequivalent atoms, fractional coordinates:
Ta1 0.000 0.000 0.000 x1
Ga1 0.000 0.000 0.498 x1
Tc1 0.500 0.500 0.255 x1
Ru1 0.500 0.500 0.741 x1

Output
- Formation energy: -0.397 eV/atom
- D(E_F): 3.96 states/eV/f.u.
- Magnetic moment: 0.00 μB/cell